Material: Rb2VSnO4
Method: DFT, PBE with a Hubbard U
State: optimized geometry

Structure (POSCAR):
```
Rb2VSnO4
1.0
7.273 -0.989 -0.269
-1.027 7.293 -0.616
-3.250 -3.467 4.145
Rb O Sn V
2 4 1 1
Direct
0.527 0.062 0.025
0.186 0.157 0.374
0.920 0.172 0.636
0.771 0.511 0.816
0.002 0.447 0.249
0.340 0.795 0.290
0.645 0.766 0.390
0.997 0.477 0.995
```

Output
- SG: P1 (1)
- Magnetic moment: 1.01 μB/f.u.
- V: 190.8 Å³/f.u.
- Total DFT energy (no corrections): -5.76 eV/atom

***

Material: RbSnWO6
Method: DFT, PBE with a Hubbard U
State: optimized geometry

Structure (POSCAR):
```
RbSnWO6
1.0
-3.200 -4.274 -1.655
-3.024 -2.790 3.731
-4.769 3.790 -0.813
O Sn Rb W
6 1 1 1
Direct
0.413 0.975 0.689
0.986 0.415 0.340
0.986 0.599 0.660
0.413 0.612 0.311
0.603 0.986 0.313
0.603 0.411 0.687
0.355 0.322 0.500
0.998 0.001 0.000
0.643 0.679 0.500
```

Output
- SG: C2 (5)
- Magnetic moment: 1.07 μB/f.u.
- V: 165.5 Å³/f.u.
- Total DFT energy (no corrections): -6.28 eV/atom